Record 1
KAuC2 | GGA-PBE | relaxed

## Properties
distance to the lowest polymorph of the same formula	0	meV/atom
energy of formation from the pure elements	4.0	kcal/mol of atoms
V	98.9	Å³ per cell
SG	P4/mmm (123)

Cell lengths 4.343, 4.343, 5.241 Å; angles 90.00, 90.00, 90.00 degrees
Atoms (fractional coordinates):
1 C 0.000 0.000 0.381
2 C 0.000 0.000 0.619
3 Au 0.000 0.000 0.000
4 K 0.500 0.500 0.500

Record 2
KAuC2 | GGA-PBE | relaxed

## Properties
distance to the lowest polymorph of the same formula	2289	meV/atom
energy of formation from the pure elements	56.8	kcal/mol of atoms
V	57.0	Å³ per cell
SG	Fm-3m (225)

Cell lengths 4.319, 4.319, 4.319 Å; angles 60.00, 60.00, 60.00 degrees
Atoms (fractional coordinates):
1 Au 0.500 0.500 0.500
2 C 0.250 0.250 0.250
3 C 0.750 0.750 0.750
4 K 0.000 0.000 0.000

Record 3
K2AuC | GGA-PBE | relaxed

## Properties
energy of formation from the pure elements	9.3	kcal/mol of atoms
V	285.3	Å³ per cell
SG	I-42d (122)

Cell lengths 12.038, 12.038, 8.737 Å; angles 46.46, 46.46, 90.00 degrees
Atoms (fractional coordinates):
1 Au 0.750 0.250 0.500
2 Au 0.000 0.000 0.000
3 K 0.375 0.606 0.750
4 K 0.875 0.644 0.750
5 K 0.356 0.625 0.250
6 K 0.394 0.125 0.250
7 C 0.500 0.500 0.000
8 C 0.250 0.750 0.500

Record 4
K2MgAuC | GGA-PBE | relaxed

## Properties
energy of formation from the pure elements	17.8	kcal/mol of atoms
V	166.8	Å³ per cell
SG	P4/mmm (123)

Cell lengths 6.442, 4.020, 6.442 Å; angles 90.00, 90.00, 90.00 degrees
Atoms (fractional coordinates):
1 K 0.000 0.000 0.500
2 K 0.500 0.000 0.000
3 Au 0.500 0.500 0.500
4 C 0.000 0.500 0.000
5 Mg 0.000 0.000 0.000

Record 5
KAuC2N2 | GGA-PBE | relaxed

## Properties
distance to the lowest polymorph of the same formula	0	meV/atom
ΔE_f (raw)	-95.2	meV/atom
V	432.9	Å³ per cell
SG	R-3 (148)

Cell lengths 9.822, 9.822, 9.822 Å; angles 45.10, 45.10, 45.10 degrees
Atoms (fractional coordinates):
1 C 0.977 0.170 0.564
2 C 0.564 0.977 0.170
3 C 0.023 0.830 0.436
4 C 0.436 0.023 0.830
5 C 0.170 0.564 0.977
6 C 0.830 0.436 0.023
7 N 0.397 0.036 0.732
8 N 0.268 0.603 0.964
9 N 0.964 0.268 0.603
10 N 0.732 0.397 0.036
11 N 0.036 0.732 0.397
12 N 0.603 0.964 0.268
13 Au 0.000 0.000 0.500
14 Au 0.000 0.500 0.000
15 Au 0.500 0.000 0.000
16 K 0.343 0.343 0.343
17 K 0.000 0.000 0.000
18 K 0.657 0.657 0.657

Record 6
KAuC2N2 | GGA-PBE | relaxed

## Properties
distance to the lowest polymorph of the same formula	588	meV/atom
ΔE_f (raw)	493.1	meV/atom
V	601.6	Å³ per cell
SG	R-3 (148)

Cell lengths 8.852, 8.852, 8.852 Å; angles 71.05, 71.05, 71.05 degrees
Atoms (fractional coordinates):
1 C 0.522 0.426 0.053
2 C 0.574 0.947 0.478
3 C 0.053 0.522 0.426
4 C 0.478 0.574 0.947
5 C 0.426 0.053 0.522
6 C 0.947 0.478 0.574
7 N 0.859 0.442 0.704
8 N 0.442 0.704 0.859
9 N 0.296 0.141 0.558
10 N 0.558 0.296 0.141
11 N 0.141 0.558 0.296
12 N 0.704 0.859 0.442
13 Au 0.000 0.000 0.500
14 Au 0.000 0.500 0.000
15 Au 0.500 0.000 0.000
16 K 0.220 0.220 0.220
17 K 0.000 0.000 0.000
18 K 0.780 0.780 0.780

Record 7
KAuC2S2N2 | GGA-PBE | relaxed

## Properties
ΔE_f (raw)	-94.7	meV/atom
V	766.3	Å³ per cell
SG	C2/c (15)

Cell lengths 7.891, 7.891, 18.820 Å; angles 69.00, 69.00, 45.19 degrees
Atoms (fractional coordinates):
1 K 0.188 0.118 0.964
2 K 0.118 0.188 0.464
3 K 0.882 0.812 0.536
4 K 0.812 0.882 0.036
5 S 0.645 0.009 0.286
6 S 0.334 0.704 0.368
7 S 0.296 0.666 0.132
8 S 0.704 0.334 0.868
9 S 0.666 0.296 0.632
10 S 0.355 0.991 0.714
11 S 0.009 0.645 0.786
12 S 0.991 0.355 0.214
13 Au 0.158 0.842 0.750
14 Au 0.654 0.346 0.750
15 Au 0.346 0.654 0.250
16 Au 0.842 0.158 0.250
17 N 0.294 0.207 0.071
18 N 0.745 0.264 0.064
19 N 0.706 0.793 0.929
20 N 0.264 0.745 0.564
21 N 0.793 0.706 0.429
22 N 0.255 0.736 0.936
23 N 0.207 0.294 0.571
24 N 0.736 0.255 0.436
25 C 0.438 0.570 0.906
26 C 0.262 0.169 0.631
27 C 0.430 0.562 0.594
28 C 0.169 0.262 0.131
29 C 0.831 0.738 0.869
30 C 0.570 0.438 0.406
31 C 0.562 0.430 0.094
32 C 0.738 0.831 0.369

Record 8
KAuCO5 | GGA-PBE | relaxed

## Properties
ΔE_f (raw)	-695.5	meV/atom
V	247.9	Å³ per cell
SG	C2/c (15)

Cell lengths 6.414, 6.414, 6.867 Å; angles 105.30, 105.30, 103.88 degrees
Atoms (fractional coordinates):
1 C 0.769 0.231 0.250
2 C 0.231 0.769 0.750
3 O 0.276 0.944 0.680
4 O 0.268 0.562 0.639
5 O 0.438 0.732 0.861
6 O 0.102 0.898 0.250
7 O 0.898 0.102 0.750
8 O 0.732 0.438 0.361
9 O 0.562 0.268 0.139
10 O 0.944 0.276 0.180
11 O 0.056 0.724 0.820
12 O 0.724 0.056 0.320
13 Au 0.000 0.000 0.500
14 Au 0.000 0.000 0.000
15 K 0.645 0.355 0.750
16 K 0.355 0.645 0.250

Record 9
KTlAuC2 | GGA-PBE | relaxed

## Properties
energy of formation from the pure elements	46.1	kcal/mol of atoms
V	107.1	Å³ per cell
SG	P4/mmm (123)

Cell lengths 4.310, 5.762, 4.310 Å; angles 90.00, 90.00, 90.00 degrees
Atoms (fractional coordinates):
1 Au 0.000 0.000 0.000
2 K 0.000 0.500 0.000
3 C 0.000 0.000 0.500
4 C 0.500 0.000 0.000
5 Tl 0.500 0.500 0.500

Record 10
La6Au2C | GGA-PBE | relaxed

## Properties
energy of formation from the pure elements	-9.7	kcal/mol of atoms
V	545.9	Å³ per cell
SG	P2_1/c (14)

Cell lengths 6.884, 7.569, 10.477 Å; angles 90.00, 89.55, 90.00 degrees
Atoms (fractional coordinates):
1 Au 0.443 0.096 0.753
2 Au 0.943 0.404 0.253
3 Au 0.557 0.904 0.247
4 Au 0.057 0.596 0.747
5 La 0.672 0.202 0.052
6 La 0.119 0.026 0.264
7 La 0.328 0.798 0.948
8 La 0.828 0.702 0.448
9 La 0.172 0.298 0.552
10 La 0.190 0.324 0.945
11 La 0.690 0.176 0.445
12 La 0.310 0.824 0.555
13 La 0.881 0.974 0.736
14 La 0.619 0.474 0.764
15 La 0.810 0.676 0.055
16 La 0.381 0.526 0.236
17 C 0.500 0.500 0.000
18 C 0.000 0.000 0.500

Record 11
La2AuC | GGA-PBE | relaxed

## Properties
energy of formation from the pure elements	-8.1	kcal/mol of atoms
V	97.9	Å³ per cell
SG	R-3m (166)

Cell lengths 3.845, 3.845, 7.961 Å; angles 76.03, 76.03, 60.00 degrees
Atoms (fractional coordinates):
1 La 0.731 0.731 0.808
2 La 0.269 0.269 0.192
3 Au 0.500 0.500 0.500
4 C 0.000 0.000 0.000

Record 12
La4AuC | GGA-PBE | relaxed

## Properties
energy of formation from the pure elements	-6.3	kcal/mol of atoms
V	353.7	Å³ per cell
SG	C2/c (15)

Cell lengths 6.526, 7.574, 8.578 Å; angles 109.77, 105.10, 105.76 degrees
Atoms (fractional coordinates):
1 La 0.802 0.673 0.602
2 La 0.699 0.071 0.398
3 La 0.301 0.929 0.602
4 La 0.580 0.276 0.093
5 La 0.198 0.327 0.398
6 La 0.013 0.817 0.093
7 La 0.987 0.183 0.907
8 La 0.420 0.724 0.907
9 C 0.178 0.928 0.857
10 C 0.822 0.072 0.143
11 Au 0.631 0.381 0.763
12 Au 0.369 0.619 0.237

| no. | VASP energy (eV/cell) |
| --- | --- |
| 1 | -22.124 |
| 2 | -12.969 |
| 3 | -26.179 |
| 4 | -12.436 |
| 5 | -120.134 |
| 6 | -109.544 |
| 7 | -193.943 |
| 8 | -87.908 |
| 9 | -15.201 |
| 10 | -98.274 |
| 11 | -23.761 |
| 12 | -67.695 |